# KNi4F8 PBE+U optimized geometry
data_KNi4F8
_symmetry_space_group_name_H-M 'R -3 m'
_symmetry_Int_Tables_number 166
_symmetry_space_group_name_Hall '-R 3 2"'
_cell_length_a 6.2217
_cell_length_b 6.2217
_cell_length_c 18.3293
_cell_angle_alpha 90.00
_cell_angle_beta 90.00
_cell_angle_gamma 120.00
loop_
_atom_site_label
_atom_site_fract_x
_atom_site_fract_y
_atom_site_fract_z
_atom_site_occupancy
K1 0.0000 0.0000 0.0000 1
Ni1 0.0000 0.0000 0.5000 1
Ni2 0.0000 0.5000 0.5000 1
F1 0.0000 0.0000 0.2203 1
F2 0.0094 0.5047 0.2249 1
# Crystal system: trigonal
# E_tot in Ry per atom: -0.2981